No. 1
Density functional theory data (GGA-PBE) for an optimized crystal structure of Ti2ZnCo3.

Summary:
V (Å³/cell): 76
Calculated total energy (eV per formula unit): -40.48
Formation enthalpy at 0 K (eV/atom): -0.350

Structure (POSCAR):
```
Ti2ZnCo3
1.0
2.988 0.000 0.000
0.000 2.988 0.000
0.000 0.000 8.508
Ti Co Zn
2 3 1
direct
0.500 0.500 0.175 Ti
0.500 0.500 0.825 Ti
0.000 0.000 0.672 Co
0.000 0.000 0.000 Co
0.000 0.000 0.328 Co
0.500 0.500 0.500 Zn
```


No. 2
Density functional theory data (GGA-PBE) for an optimized crystal structure of TiZn2Co2.

Summary:
Offset from the most stable computed form (eV/atom): 0.193
V (Å³/cell): 70
Calculated total energy (eV per formula unit): -23.95
Formation enthalpy at 0 K (eV/atom): 0.140

Structure (POSCAR):
```
TiZn2Co2
1.0
-2.821 0.071 -2.034
-1.293 -2.747 1.697
-4.681 2.223 3.596
Zn Co Ti
2 2 1
direct
0.397 0.397 0.207 Zn
0.603 0.603 0.793 Zn
0.250 0.750 0.500 Co
0.750 0.250 0.500 Co
0.000 0.000 0.000 Ti
```


No. 3
Density functional theory data (GGA-PBE) for an optimized crystal structure of TiZn2Co2.

Summary:
Offset from the most stable computed form (eV/atom): 0.000
V (Å³/cell): 131
Calculated total energy (eV per formula unit): -24.92
Formation enthalpy at 0 K (eV/atom): -0.053

Structure (POSCAR):
```
TiZn2Co2
1.0
-4.321 -4.362 -2.614
4.222 -4.990 1.347
-1.248 -0.344 2.637
Ti Co Zn
2 4 4
direct
0.000 0.000 0.000 Ti
0.500 0.500 0.000 Ti
0.139 0.361 0.000 Co
0.639 0.139 0.000 Co
0.361 0.861 0.000 Co
0.861 0.639 0.000 Co
0.158 0.658 0.500 Zn
0.658 0.842 0.500 Zn
0.342 0.158 0.500 Zn
0.842 0.342 0.500 Zn
```


No. 4
Density functional theory data (GGA-PBE) for an optimized crystal structure of Ti4ZnCo.

Summary:
Offset from the most stable computed form (eV/atom): 0.000
V (Å³/cell): 92
Calculated total energy (eV per formula unit): -41.33
Formation enthalpy at 0 K (eV/atom): -0.228

Structure (POSCAR):
```
Ti4ZnCo
1.0
2.979 0.000 0.000
0.000 2.979 0.000
0.000 0.000 10.358
Ti Zn Co
4 1 1
direct
0.500 0.500 0.824 Ti
0.000 0.000 0.355 Ti
0.500 0.500 0.176 Ti
0.000 0.000 0.645 Ti
0.000 0.000 0.000 Zn
0.500 0.500 0.500 Co
```